[1]
Material: NaPbSe2N
Method: DFT, PBE
State: relaxed

Structure (POSCAR):
```
NaPbSe2N
1.0
5.334 0.000 0.000
0.000 5.334 0.000
0.000 0.000 4.466
Na Pb Se N
1 1 2 1
Direct
0.000 0.000 0.000
0.500 0.500 0.500
0.000 0.500 0.000
0.500 0.000 0.000
0.000 0.000 0.500
```

Computed properties:
Formation energy from raw total energies, eV/atom: 0.81
Crystal system: tetragonal
Uncorrected energy, eV/atom: -3.251
Total moment, μB/f.u.: 3.67


[2]
Material: AlPtO2
Method: DFT, PBE
State: relaxed

Structure (POSCAR):
```
AlPtO2
1.0
5.978 0.000 0.000
0.000 2.816 0.000
-0.794 0.000 5.161
Al Pt O
2 2 4
Direct
0.000 0.236 0.250
0.000 0.764 0.750
0.500 0.500 0.000
0.500 0.500 0.500
0.162 0.273 0.944
0.162 0.727 0.444
0.838 0.273 0.556
0.838 0.727 0.056
```

Computed properties:
Formation energy from raw total energies, eV/atom: -1.79
Crystal system: monoclinic
Uncorrected energy, eV/atom: -6.712
Total moment, μB/f.u.: 0.00